! HoZnGa (PBE, optimized geometry); values from VASP
! ΔE_f = -304.7 meV/atom
! DFT total energy = -3.264 eV per atom
&SYSTEM
  ibrav = 0, nat = 3, ntyp = 3
/
ATOMIC_SPECIES
Zn 65.41 Zn.upf
Ho 164.93 Ho.upf
Ga 69.72 Ga.upf
ATOMIC_POSITIONS crystal
Zn 0.3007 0.3007 0.6013
Ho 0.6182 0.6182 0.2365
Ga 0.9311 0.9311 0.8622
CELL_PARAMETERS angstrom
3.3419 0.0000 0.0000
0.0000 3.3419 0.0000
-1.6709 -1.6709 5.4406